[1]
This record from the Alexandria database describes a geometry-optimized Sr2LaCu structure. The functional is GGA-PBE.

Output
Formation energy from the elements = 0.0673 eV per atom

Structure (POSCAR):
```
Sr2LaCu
1.0
-4.1065 9.6296 -3.1471
-6.4425 8.8268 0.2796
-2.6256 10.5889 0.6909
Cu La Sr
1 1 2
Cartesian
-6.5200 14.3741 -1.0772
-10.2449 22.5861 -1.6926
-0.0643 0.1417 -0.0106
-2.9329 6.4659 -0.4846
```

---

[2]
This record from the Alexandria database describes a geometry-optimized CsNa2CaHg structure. The functional is GGA-PBE.

Output
Formation energy from the elements = -0.0520 eV per atom

Structure (POSCAR):
```
CsNa2CaHg
1.0
6.2092 0.0000 0.0000
0.0000 6.2092 0.0000
0.0000 0.0000 6.0632
Cs Na Ca Hg
1 2 1 1
Cartesian
3.1046 3.1046 3.0316
0.0000 3.1046 0.0000
3.1046 0.0000 0.0000
0.0000 0.0000 3.0316
0.0000 0.0000 0.0000
```

---

[3]
This record from the Alexandria database describes a geometry-optimized PuPa2Cu9 structure. The functional is GGA-PBE.

Output
Formation energy from the elements = 0.0056 eV per atom

Structure (POSCAR):
```
PuPa2Cu9
1.0
4.9118 0.0000 1.4618
2.2384 4.3722 1.4618
0.0388 0.0237 8.8526
Pu Pa Cu
1 2 9
Cartesian
0.0000 0.0000 0.0000
6.1246 3.7450 6.3700
1.0644 0.6509 5.4063
4.8112 2.9419 10.7828
2.3778 1.4539 0.9935
3.5945 2.1979 5.8881
3.0071 1.8388 3.3915
5.4514 1.8388 4.1190
4.1210 4.0145 4.1190
4.1819 2.5571 8.3847
3.0680 0.3814 7.6573
1.7376 2.5571 7.6573
```

---

[4]
This record from the Alexandria database describes a geometry-optimized SrMg2In2Ga structure. The functional is GGA-PBE.

Output
Formation energy from the elements = -0.1848 eV per atom

Structure (POSCAR):
```
SrMg2In2Ga
1.0
4.8854 0.0000 0.0000
-2.4427 4.2309 0.0000
0.0000 0.0000 7.7688
Sr Mg In Ga
1 2 2 1
Cartesian
0.0000 0.0000 0.0000
0.0000 2.8206 4.9851
2.4427 1.4103 2.7837
0.0000 2.8206 1.9076
2.4427 1.4103 5.8612
0.0000 0.0000 3.8844
```

---

[5]
This record from the Alexandria database describes a geometry-optimized Tb2PmCl structure. The functional is GGA-PBE.

Output
Electronic total energy = -17.45 eV for the cell shown

Structure (POSCAR):
```
Tb2PmCl
1.0
-3.4319 -0.3668 -0.0849
-1.5449 -1.1276 -2.8743
-0.6158 -11.0906 2.6084
Cl Tb Pm
1 2 1
Cartesian
-2.7963 -6.2925 -0.1754
-0.9319 -7.8809 1.5192
-4.6607 -4.7041 -1.8699
0.0000 0.0000 0.0000
```

---

[6]
This record from the Alexandria database describes a geometry-optimized Na2ZnGa2Au5 structure. The functional is GGA-PBE.

Output
Formation energy from the elements = -0.2948 eV per atom

Structure (POSCAR):
```
Na2ZnGa2Au5
1.0
-0.1471 2.4974 2.0457
-6.3283 -5.8762 6.7186
8.9118 -3.7002 5.1579
Na Zn Ga Au
4 2 4 10
Cartesian
-2.7220 -4.5770 5.3918
5.3055 -4.9994 6.4847
1.8477 -2.2225 2.8461
0.7358 -7.3539 9.0304
0.0000 0.0000 0.0000
1.2918 -4.7882 5.9382
4.8035 -3.1386 4.1769
-2.2200 -6.4378 7.6995
3.6971 -6.9311 8.7272
-1.1136 -2.6453 3.1493
-0.6958 -0.0898 2.6121
3.1323 -6.9892 11.3101
6.7628 -2.1299 5.6390
-0.5362 -4.4080 7.8951
-4.3264 -4.9491 8.2832
2.9726 -2.6711 6.0271
2.4898 -4.6076 8.3564
-0.0533 -2.4714 5.5658
-3.2377 -1.6894 4.3821
4.3824 -0.6014 3.6018
```

---

[7]
This record from the Alexandria database describes a geometry-optimized DyThBr structure. The functional is GGA-PBE.

Output
Electronic total energy = -32.06 eV for the cell shown

Structure (POSCAR):
```
DyThBr
1.0
3.6789 -0.0026 -0.2076
1.8356 3.1882 -0.2076
-0.6425 -0.3712 16.7114
Th Dy Br
2 2 2
Cartesian
0.0578 0.0334 1.1261
3.8943 2.2497 3.6979
2.2193 1.2821 6.6871
1.0951 0.6327 14.8477
0.4930 0.2848 8.7937
2.8229 1.6308 12.7410
```

---

[8]
This record from the Alexandria database describes a geometry-optimized Rb2BaSi2Se6 structure. The functional is GGA-PBE.

Output
Electronic total energy = -45.63 eV for the cell shown

Structure (POSCAR):
```
Rb2BaSi2Se6
1.0
7.5807 0.0000 0.0000
3.7904 6.5651 0.0000
3.7904 2.1884 8.9361
Rb Ba Si Se
2 1 2 6
Cartesian
11.3711 6.5651 5.6698
3.7904 2.1884 3.2663
0.0000 0.0000 0.0000
7.5807 4.3767 6.5817
7.5807 4.3767 2.3544
9.4762 5.4711 2.4529
5.6853 5.4711 2.4529
7.5807 2.1881 2.4529
7.5807 6.5654 6.4832
9.4762 3.2824 6.4832
5.6853 3.2824 6.4832
```

---

[9]
This record from the Alexandria database describes a geometry-optimized Sr6Ag2PdN structure. The functional is GGA-PBE.

Output
Electronic total energy = -66.00 eV for the cell shown

Structure (POSCAR):
```
Sr6Ag2PdN
1.0
7.3939 0.0000 0.0713
0.0000 8.1174 0.0000
0.1665 0.0000 10.8401
Sr Ag Pd N
12 4 2 2
Cartesian
2.1980 5.4642 0.5614
5.9782 6.7118 6.0171
5.3624 2.6531 10.3500
1.5822 1.4055 4.8943
2.5568 5.7681 4.8656
6.3370 6.4080 10.3214
5.0036 2.3493 6.0458
1.2234 1.7094 0.5901
6.6155 4.2779 2.5801
3.0017 7.8981 7.9645
0.9450 3.8395 8.3313
4.5587 0.2192 2.9469
0.3443 7.3668 2.7390
4.1245 4.8092 8.1947
7.2161 0.7505 8.1724
3.4359 3.3082 2.7167
3.6970 0.0000 0.0356
0.0832 4.0587 5.4201
3.7802 0.0000 5.4557
0.0000 4.0587 0.0000
```

---

[10]
This record from the Alexandria database describes a geometry-optimized AcTc2PN structure. The functional is GGA-PBE.

Output
Electronic total energy = -84.32 eV for the cell shown

Structure (POSCAR):
```
AcTc2PN
1.0
3.9463 0.0000 0.0000
-1.9731 5.6333 0.0000
0.0000 0.0000 7.3886
Ac Tc P N
2 4 2 2
Cartesian
0.0000 5.1365 5.5414
1.9731 0.4968 1.8471
0.0000 1.9328 6.9390
1.9731 3.7004 0.4496
0.0000 1.9328 4.1439
1.9731 3.7004 3.2447
1.9731 2.6094 5.5414
0.0000 3.0238 1.8471
0.0000 0.0000 0.0000
0.0000 0.0000 3.6943
```

---

[11]
This record from the Alexandria database describes a geometry-optimized Mg14InSn structure. The functional is GGA-PBE.

Output
Formation energy from the elements = -0.0405 eV per atom

Structure (POSCAR):
```
Mg14InSn
1.0
-5.9965 1.7433 1.3586
-2.1496 -5.5129 -2.4146
0.7261 -3.8508 8.1457
Mg In Sn
14 1 1
Cartesian
-7.1279 -3.2984 -0.9240
-3.0548 -1.4136 -0.3960
-5.6900 -2.4674 4.3562
-6.0530 -0.5419 0.2833
-3.7666 -6.0954 2.4696
-4.1296 -4.1700 -1.6033
-3.8317 -0.5667 2.5736
-3.4675 -2.4981 6.6590
-1.9161 -4.1800 0.6947
-1.5519 -6.1114 4.7801
-4.9020 -3.3119 1.3714
-4.5379 -5.2432 5.4565
-0.8456 -1.4349 1.8972
-0.4815 -3.3661 5.9823
-2.6918 -3.3390 3.6769
-6.7648 -5.2238 3.1489
```

---

[12]
This record from the Alexandria database describes a geometry-optimized Pu4Sb3H4 structure. The functional is GGA-PBE.

Output
Electronic total energy = -87.95 eV for the cell shown

Structure (POSCAR):
```
Pu4Sb3H4
1.0
6.0715 0.0000 -2.1466
-3.0358 5.2581 -2.1466
0.0000 0.0000 6.4398
Pu Sb H
4 3 4
Cartesian
-1.9136 3.3144 -1.3531
3.8272 0.0000 -1.3531
0.0000 0.0000 4.0593
1.1222 1.9437 0.7935
1.5179 2.6291 -2.1466
3.0358 0.0000 2.1466
-1.5179 2.6291 2.1466
-0.7467 1.2934 -0.5280
0.0000 0.0000 1.5840
1.4934 0.0000 -0.5280
2.2891 3.9648 1.6186
```